1.
The following is a PBE calculation of MgReN3 after structural relaxation, from the Alexandria database.

Cell: 4.9188 6.1795 9.0924 Å, 90.00 90.00 90.00°
Positions (direct):
Mg: 0.5000 0.0000 0.0000
Mg: 0.0000 0.5000 0.5000
Mg: 0.0000 0.5000 0.0000
Mg: 0.5000 0.0000 0.5000
Re: 0.5418 0.3043 0.2500
Re: 0.0418 0.1957 0.7500
Re: 0.4582 0.6957 0.7500
Re: 0.9582 0.8043 0.2500
N: 0.8389 0.1707 0.9094
N: 0.3389 0.3293 0.4094
N: 0.3389 0.3293 0.0906
N: 0.1611 0.8293 0.4094
N: 0.1611 0.8293 0.0906
N: 0.6611 0.6707 0.5906
N: 0.6611 0.6707 0.9094
N: 0.8389 0.1707 0.5906
N: 0.6817 0.0186 0.2500
N: 0.1817 0.4814 0.7500
N: 0.3183 0.9814 0.7500
N: 0.8183 0.5186 0.2500

Results
**Magnetization**: 0.000 μB per atom
**Uncorrected formation energy**: -0.9 eV per formula unit
**SG**: Pnma (62)
**V**: 276 Å³/cell



2.
The following is a PBE calculation of Cd4SnPd15 after structural relaxation, from the Alexandria database.

Cell: 4.0554 4.0554 19.9410 Å, 90.00 90.00 90.00°
Positions (direct):
Cd: 0.0000 0.0000 0.2001
Cd: 0.0000 0.0000 0.3999
Cd: 0.0000 0.0000 0.6001
Cd: 0.0000 0.0000 0.7999
Sn: 0.0000 0.0000 0.0000
Pd: 0.5000 0.5000 0.0000
Pd: 0.5000 0.5000 0.1997
Pd: 0.5000 0.5000 0.4006
Pd: 0.5000 0.5000 0.5994
Pd: 0.5000 0.5000 0.8003
Pd: 0.5000 0.0000 0.0986
Pd: 0.5000 0.0000 0.3003
Pd: 0.5000 0.0000 0.5000
Pd: 0.5000 0.0000 0.6997
Pd: 0.5000 0.0000 0.9014
Pd: 0.0000 0.5000 0.0986
Pd: 0.0000 0.5000 0.3003
Pd: 0.0000 0.5000 0.5000
Pd: 0.0000 0.5000 0.6997
Pd: 0.0000 0.5000 0.9014

Results
**Magnetization**: 0.000 μB per atom
**SG**: P4/mmm (123)
**E_tot**: -0.16782 Ha/atom
**V**: 328 Å³/cell



> Which formula does entry 2 have?

Cd4SnPd15